# 1
# Al2AgRu (SCAN, PBEsol geometry)
# Density ... 7.16 Mg/m³
# D(E_F) ... 4.55 states/eV/cell
# Energy relative to the elements ... 55 meV per atom
data_Al2AgRu
_cell_length_a 3.021
_cell_length_b 4.627
_cell_length_c 8.727
_cell_angle_alpha 90.00
_cell_angle_beta 90.00
_cell_angle_gamma 90.00
_space_group_name_H-M_alt 'C m m 2'
_space_group_IT_number 35
_space_group_name_Hall 'C 2 -2'
loop_
_atom_site_label
_atom_site_type_symbol
_atom_site_fract_x
_atom_site_fract_y
_atom_site_fract_z
Al1 Al 0.000 0.000 0.000
Al2 Al 0.000 0.500 0.262
Ag1 Ag 0.000 0.000 0.514
Ru1 Ru 0.000 0.500 0.784


# 2
# Be2IBr (SCAN, PBEsol geometry)
# Density ... 5.08 Mg/m³
# Uncorrected formation energy ... 3.59 eV per formula unit
# D(E_F) ... 4.36 states/eV/cell
data_Be2IBr
_cell_length_a 6.651
_cell_length_b 6.651
_cell_length_c 6.651
_cell_angle_alpha 90.00
_cell_angle_beta 90.00
_cell_angle_gamma 90.00
_space_group_name_H-M_alt 'F m -3 m'
_space_group_IT_number 225
_space_group_name_Hall '-F 4 2 3'
loop_
_atom_site_label
_atom_site_type_symbol
_atom_site_fract_x
_atom_site_fract_y
_atom_site_fract_z
Be1 Be 0.250 0.250 0.250
I1 I 0.000 0.000 0.000
Br1 Br 0.000 0.000 0.500


# 3
# BN (SCAN, PBEsol geometry)
# Density ... 2.16 Mg/m³
# Uncorrected formation energy ... -2.91 eV per formula unit
# D(E_F) ... 0.00 states/eV/cell
data_BN
_cell_length_a 2.5051
_cell_length_b 2.5051
_cell_length_c 7.0085
_cell_angle_alpha 90.00
_cell_angle_beta 90.00
_cell_angle_gamma 120.00
_space_group_name_H-M_alt 'P 63/m m c'
_space_group_IT_number 194
_space_group_name_Hall '-P 6c 2c'
loop_
_atom_site_label
_atom_site_type_symbol
_atom_site_fract_x
_atom_site_fract_y
_atom_site_fract_z
B1 B 0.0000 0.0000 0.2500
N1 N 0.3333 0.6667 0.2500


# 4
# BaNaSe2N (SCAN, PBEsol geometry)
# Density ... 2.90 Mg/m³
# Uncorrected formation energy ... 1.02 eV per formula unit
# D(E_F) ... 3.41 states/eV/cell
data_BaNaSe2N
_cell_length_a 6.041
_cell_length_b 6.041
_cell_length_c 5.206
_cell_angle_alpha 90.00
_cell_angle_beta 90.00
_cell_angle_gamma 90.00
_space_group_name_H-M_alt 'P 4/m m m'
_space_group_IT_number 123
_space_group_name_Hall '-P 4 2'
loop_
_atom_site_label
_atom_site_type_symbol
_atom_site_fract_x
_atom_site_fract_y
_atom_site_fract_z
Ba1 Ba 0.000 0.000 0.000
Na1 Na 0.500 0.500 0.500
Se1 Se 0.000 0.500 0.000
N1 N 0.000 0.000 0.500